[1]
# Ca2ZrReO8

A geometry-optimized Ca2ZrReO8 structure (PBE, the Alexandria database).

Calculated values
- E_tot (eV/atom) = -7.683
- spin magnetization (μB/f.u.) = 1.1
- theoretical density (g/cm3) = 4.71
- symmetry = P2/m, No. 10
- formation energy (no corrections) (eV/atom) = -2.2945

The structure in extended XYZ format:
```
12
Lattice="5.136 -0.091 -0.003 -0.077 5.132 -0.006 0.004 0.007 6.492" Properties=species:S:1:pos:R:3 pbc="T T T"
O 3.740 3.740 6.486
Ca 2.530 2.522 1.609
O 1.439 1.427 3.244
Zr 0.002 0.004 3.246
Ca 2.532 2.526 4.875
O 4.234 0.829 5.057
O 4.232 0.825 1.429
O 1.322 1.309 -0.002
O 0.830 4.223 5.055
O 0.828 4.219 1.427
O 3.623 3.621 3.240
Re 0.000 0.000 0.000
```


[2]
# YAg2Te

A geometry-optimized YAg2Te structure (PBE, the Alexandria database).

Calculated values
- E_tot (eV/atom) = -4.011
- spin magnetization (μB/f.u.) = 0.0
- theoretical density (g/cm3) = 7.18
- symmetry = R-3m, No. 166
- formation energy (no corrections) (eV/atom) = -0.1837

The structure in extended XYZ format:
```
4
Lattice="-4.998 1.997 2.792 -5.968 -0.728 -0.785 -4.491 -2.560 3.169" Properties=species:S:1:pos:R:3 pbc="T T T"
Te -3.864 -0.323 1.294
Ag -7.853 -0.656 2.630
Ag -15.333 -1.281 5.135
Y -11.593 -0.968 3.882
```


Copy entry 2 word for word.
# YAg2Te

A geometry-optimized YAg2Te structure (PBE, the Alexandria database).

Calculated values
- E_tot (eV/atom) = -4.011
- spin magnetization (μB/f.u.) = 0.0
- theoretical density (g/cm3) = 7.18
- symmetry = R-3m, No. 166
- formation energy (no corrections) (eV/atom) = -0.1837

The structure in extended XYZ format:
```
4
Lattice="-4.998 1.997 2.792 -5.968 -0.728 -0.785 -4.491 -2.560 3.169" Properties=species:S:1:pos:R:3 pbc="T T T"
Te -3.864 -0.323 1.294
Ag -7.853 -0.656 2.630
Ag -15.333 -1.281 5.135
Y -11.593 -0.968 3.882
```